DFT (GGA-PBE) results for BaZr2Se after structural relaxation.

a b c (Å): 5.103 5.103 7.412
angles (deg): 73.75 73.75 40.59
Positions (direct):
Ba1 0.559 0.559 0.491
Se1 0.240 0.240 0.124
Zr1 0.970 0.970 0.045
Zr2 0.731 0.731 0.839

Computed properties:
**Theoretical density**: 5.52 g/cm³
**Symmetry**: Cm, No. 8
**Raw total energy**: -23.646 eV per cell
**Calculated volume**: 119.9 Å³/cell
**ΔE_f (raw)**: -0.286 eV/atom

DFT (GGA-PBE) results for CoTe2P after structural relaxation.

a b c (Å): 5.922 5.922 7.225
angles (deg): 65.81 65.81 90.00
Positions (direct):
P1 0.500 0.500 0.000
P2 0.250 0.750 0.500
Te1 0.671 0.125 0.250
Te2 0.079 0.625 0.250
Te3 0.375 0.329 0.750
Te4 0.875 0.921 0.750
Co1 0.000 0.000 0.000
Co2 0.750 0.250 0.500

Computed properties:
**Theoretical density**: 5.55 g/cm³
**Symmetry**: I-42d, No. 122
**Raw total energy**: -35.307 eV per cell
**Calculated volume**: 206.4 Å³/cell
**ΔE_f (raw)**: 0.286 eV/atom

DFT (GGA-PBE) results for Cr2GeI after structural relaxation.

a b c (Å): 5.666 5.666 7.767
angles (deg): 68.61 68.61 90.00
Positions (direct):
I1 0.000 0.000 0.000
I2 0.750 0.250 0.500
Cr1 0.570 0.125 0.250
Cr2 0.180 0.625 0.250
Cr3 0.375 0.430 0.750
Cr4 0.875 0.820 0.750
Ge1 0.500 0.500 0.000
Ge2 0.250 0.750 0.500

Computed properties:
**Theoretical density**: 4.72 g/cm³
**Symmetry**: I-42d, No. 122
**Raw total energy**: -46.022 eV per cell
**Polymorph energy (0 for the lowest one)**: 0.0 meV per atom
**Calculated volume**: 213.6 Å³/cell
**ΔE_f (raw)**: 0.601 eV/atom

DFT (GGA-PBE) results for LaPm2Er3Se6 after structural relaxation.

a b c (Å): 4.082 8.397 9.309
angles (deg): 104.85 102.66 90.00
Positions (direct):
La1 0.500 0.000 0.000
Pm1 0.832 0.665 0.665
Pm2 0.168 0.335 0.335
Er1 0.500 0.500 0.000
Er2 0.834 0.167 0.668
Er3 0.166 0.833 0.332
Se1 0.328 0.924 0.656
Se2 0.663 0.593 0.326
Se3 0.672 0.076 0.344
Se4 0.997 0.264 0.995
Se5 0.003 0.736 0.005
Se6 0.337 0.407 0.674

Computed properties:
**Theoretical density**: 7.76 g/cm³
**Symmetry**: C2/m, No. 12
**Raw total energy**: -70.610 eV per cell
**Calculated volume**: 300.4 Å³/cell
**ΔE_f (raw)**: -1.799 eV/atom

DFT (GGA-PBE) results for ThNiSb3 after structural relaxation.

a b c (Å): 6.109 6.260 12.739
angles (deg): 90.00 90.00 90.00
Positions (direct):
Th1 0.750 0.499 0.697
Th2 0.250 0.501 0.303
Th3 0.750 0.999 0.303
Th4 0.250 0.001 0.697
Ni1 0.500 0.250 0.095
Ni2 0.000 0.750 0.905
Ni3 0.500 0.750 0.905
Ni4 0.000 0.250 0.095
Sb1 0.000 0.250 0.499
Sb2 0.500 0.750 0.501
Sb3 0.000 0.750 0.501
Sb4 0.500 0.250 0.499
Sb5 0.250 0.090 0.949
Sb6 0.750 0.910 0.051
Sb7 0.250 0.590 0.051
Sb8 0.750 0.410 0.949
Sb9 0.250 0.508 0.773
Sb10 0.750 0.492 0.227
Sb11 0.250 0.008 0.227
Sb12 0.750 0.992 0.773

Computed properties:
**Theoretical density**: 8.94 g/cm³
**Symmetry**: Pbcm, No. 57
**Raw total energy**: -112.727 eV per cell
**Calculated volume**: 487.2 Å³/cell
**ΔE_f (raw)**: -0.523 eV/atom

DFT (GGA-PBE) results for MgTlCdNi after structural relaxation.

a b c (Å): 4.737 4.737 4.737
angles (deg): 60.00 60.00 60.00
Positions (direct):
Ni1 0.000 0.000 0.000
Tl1 0.250 0.250 0.250
Mg1 0.500 0.500 0.500
Cd1 0.750 0.750 0.750

Computed properties:
**Theoretical density**: 8.83 g/cm³
**Symmetry**: F-43m, No. 216
**Raw total energy**: -10.186 eV per cell
**Energy of formation from the pure elements**: 0.5 eV/f.u.
**Calculated volume**: 75.2 Å³/cell

DFT (GGA-PBE) results for Sc2OsC2 after structural relaxation.

a b c (Å): 6.742 6.742 2.877
angles (deg): 90.00 90.00 90.00
Positions (direct):
Sc1 0.358 0.858 0.000
Sc2 0.858 0.642 0.000
Sc3 0.642 0.142 0.000
Sc4 0.142 0.358 0.000
C1 0.176 0.676 0.500
C2 0.676 0.824 0.500
C3 0.824 0.324 0.500
C4 0.324 0.176 0.500
Os1 0.000 0.000 0.000
Os2 0.500 0.500 0.000

Computed properties:
**Theoretical density**: 7.72 g/cm³
**Symmetry**: P4/mbm, No. 127
**Raw total energy**: -75.698 eV per cell
**Energy of formation from the pure elements**: 4.5 eV/f.u.
**Calculated volume**: 130.8 Å³/cell

DFT (GGA-PBE) results for CdRh2O after structural relaxation.

a b c (Å): 4.780 4.780 7.200
angles (deg): 70.61 70.61 90.00
Positions (direct):
Rh1 0.451 0.125 0.250
Rh2 0.299 0.625 0.250
Rh3 0.375 0.549 0.750
Rh4 0.875 0.701 0.750
O1 0.500 0.500 0.000
O2 0.250 0.750 0.500
Cd1 0.000 0.000 0.000
Cd2 0.750 0.250 0.500

Computed properties:
**Theoretical density**: 7.64 g/cm³
**Symmetry**: I-42d, No. 122
**Raw total energy**: -40.761 eV per cell
**Polymorph energy (0 for the lowest one)**: 0.0 meV per atom
**Calculated volume**: 145.2 Å³/cell
**ΔE_f (raw)**: 0.049 eV/atom

DFT (GGA-PBE) results for LiBeTe4 after structural relaxation.

a b c (Å): 6.403 6.403 6.403
angles (deg): 60.00 60.00 60.00
Positions (direct):
Li1 0.000 0.000 0.000
Be1 0.750 0.750 0.750
Te1 0.871 0.376 0.376
Te2 0.376 0.376 0.871
Te3 0.376 0.871 0.376
Te4 0.376 0.376 0.376

Computed properties:
**Theoretical density**: 4.71 g/cm³
**Symmetry**: F-43m, No. 216
**Raw total energy**: -14.894 eV per cell
**Calculated volume**: 185.6 Å³/cell
**ΔE_f (raw)**: 0.552 eV/atom

DFT (GGA-PBE) results for LiRe2P after structural relaxation.

a b c (Å): 3.987 2.735 4.985
angles (deg): 85.07 90.00 90.00
Positions (direct):
Li1 0.500 0.250 0.250
P1 0.500 0.750 0.750
Re1 0.000 0.941 0.004
Re2 0.000 0.559 0.496

Computed properties:
**Theoretical density**: 12.58 g/cm³
**Symmetry**: P2/m, No. 10
**Raw total energy**: -31.332 eV per cell
**Energy of formation from the pure elements**: 0.9 eV/f.u.
**Calculated volume**: 54.2 Å³/cell

DFT (GGA-PBE) results for V4BIr2 after structural relaxation.

a b c (Å): 3.959 3.959 6.848
angles (deg): 73.19 73.19 90.00
Positions (direct):
B1 0.000 0.000 0.000
Ir1 0.360 0.360 0.281
Ir2 0.640 0.640 0.719
V1 0.172 0.172 0.655
V2 0.828 0.828 0.345
V3 0.000 0.500 0.000
V4 0.500 0.000 0.000

Computed properties:
**Theoretical density**: 10.15 g/cm³
**Symmetry**: I4/mmm, No. 139
**Raw total energy**: -60.846 eV per cell
**Energy of formation from the pure elements**: 0.0 eV/f.u.
**Calculated volume**: 98.0 Å³/cell

DFT (GGA-PBE) results for AcTl2BrO2 after structural relaxation.

a b c (Å): 4.870 4.870 6.711
angles (deg): 90.00 90.00 90.00
Positions (direct):
Ac1 0.000 0.000 0.000
Tl1 0.500 0.500 0.755
Tl2 0.500 0.500 0.245
Br1 0.000 0.000 0.500
O1 0.500 0.000 0.000
O2 0.000 0.500 0.000

Computed properties:
**Theoretical density**: 7.80 g/cm³
**Symmetry**: P4/mmm, No. 123
**Raw total energy**: -30.389 eV per cell
**Calculated volume**: 159.2 Å³/cell
**ΔE_f (raw)**: -1.660 eV/atom